Crystalline BiH4Pd4 at its relaxed geometry. Source: the Alexandria database, functional GGA-PBE.

Structure (extended XYZ):
```
9
Lattice="-3.635 3.635 1.892 3.635 -3.635 1.892 3.635 3.635 -1.892" Properties=species:S:1:pos:R:3 pbc="T T T"
Bi 0.000 0.000 0.000
H 4.707 1.269 0.000
H 1.269 2.563 0.000
H 2.366 1.072 1.892
H -1.072 2.366 1.892
Pd 2.840 1.404 0.000
Pd 2.231 -0.795 1.892
Pd 1.404 4.430 0.000
Pd 0.795 2.231 1.892
```

Crystal system   tetragonal
Magnetization   0.00 μB per cell
Total DFT energy (no corrections)   -4.33 eV/atom